# PBE-GGA MnBeCrGa, relaxed
data_MnBeCrGa
_chemical_formula_sum 'Mn1 Be1 Cr1 Ga1'
_cell_length_a 4.023
_cell_length_b 4.023
_cell_length_c 4.023
_cell_angle_alpha 60.00
_cell_angle_beta 60.00
_cell_angle_gamma 60.00
_space_group_name_H-M_alt 'P 1'
_space_group_IT_number 1
loop_
_space_group_symop_operation_xyz
'x,y,z'
loop_
_atom_site_label
_atom_site_type_symbol
_atom_site_fract_x
_atom_site_fract_y
_atom_site_fract_z
_atom_site_occupancy
Cr1 Cr 0.000 0.000 0.000 1
Ga1 Ga 0.750 0.750 0.750 1
Mn1 Mn 0.250 0.250 0.250 1
Be1 Be 0.500 0.500 0.500 1
# Calculated total energy ... -6.42 eV/atom
# ρ ... 6.7 g/cm³
# Total moment ... 0.0 μB per cell
# Calculated formation energy ... -12 kJ/mol of formula units